(1)
VASP calculation (GGA-PBE) on an optimized crystal structure of SmThCuOs. Values from VASP.

Structure (Quantum ESPRESSO input):
```
&SYSTEM
  ibrav = 0, nat = 16, ntyp = 4
/
ATOMIC_SPECIES
Sm 150.36 Sm.upf
Th 232.04 Th.upf
Cu 63.55 Cu.upf
Os 190.23 Os.upf
CELL_PARAMETERS angstrom
7.089 0.000 0.000
0.000 7.089 0.000
0.000 0.000 7.089
ATOMIC_POSITIONS angstrom
Sm 0.000 0.000 0.000
Sm 0.000 3.544 3.544
Sm 3.544 0.000 3.544
Sm 3.544 3.544 0.000
Th 0.000 0.000 3.544
Th 0.000 3.544 0.000
Th 3.544 0.000 0.000
Th 3.544 3.544 3.544
Cu 1.772 1.772 5.316
Cu 1.772 5.316 1.772
Cu 5.316 1.772 1.772
Cu 5.316 5.316 5.316
Os 1.772 1.772 1.772
Os 1.772 5.316 5.316
Os 5.316 1.772 5.316
Os 5.316 5.316 1.772
```

DOS at the Fermi energy in states/eV per cell: 19.75
ΔE_f in kcal/mol of atoms: -3.550

***

(2)
VASP calculation (GGA-PBE) on an optimized crystal structure of SmTmCuOs. Values from VASP.

Structure (Quantum ESPRESSO input):
```
&SYSTEM
  ibrav = 0, nat = 16, ntyp = 4
/
ATOMIC_SPECIES
Sm 150.36 Sm.upf
Tm 168.93 Tm.upf
Cu 63.55 Cu.upf
Os 190.23 Os.upf
CELL_PARAMETERS angstrom
6.891 0.000 0.000
0.000 6.891 0.000
0.000 0.000 6.891
ATOMIC_POSITIONS angstrom
Sm 0.000 0.000 0.000
Sm 0.000 3.445 3.445
Sm 3.445 0.000 3.445
Sm 3.445 3.445 0.000
Tm 0.000 0.000 3.445
Tm 0.000 3.445 0.000
Tm 3.445 0.000 0.000
Tm 3.445 3.445 3.445
Cu 1.723 1.723 1.723
Cu 1.723 5.168 5.168
Cu 5.168 1.723 5.168
Cu 5.168 5.168 1.723
Os 1.723 1.723 5.168
Os 1.723 5.168 1.723
Os 5.168 1.723 1.723
Os 5.168 5.168 5.168
```

DOS at the Fermi energy in states/eV per cell: 11.22
ΔE_f in kcal/mol of atoms: -5.019

***

(3)
VASP calculation (GGA-PBE) on an optimized crystal structure of SmYCuOs. Values from VASP.

Structure (Quantum ESPRESSO input):
```
&SYSTEM
  ibrav = 0, nat = 16, ntyp = 4
/
ATOMIC_SPECIES
Sm 150.36 Sm.upf
Y 88.91 Y.upf
Cu 63.55 Cu.upf
Os 190.23 Os.upf
CELL_PARAMETERS angstrom
6.947 0.000 0.000
0.000 6.947 0.000
0.000 0.000 6.947
ATOMIC_POSITIONS angstrom
Sm 0.000 0.000 0.000
Sm 0.000 3.473 3.473
Sm 3.473 0.000 3.473
Sm 3.473 3.473 0.000
Y 0.000 0.000 3.473
Y 0.000 3.473 0.000
Y 3.473 0.000 0.000
Y 3.473 3.473 3.473
Cu 1.737 1.737 1.737
Cu 1.737 5.210 5.210
Cu 5.210 1.737 5.210
Cu 5.210 5.210 1.737
Os 1.737 1.737 5.210
Os 1.737 5.210 1.737
Os 5.210 1.737 1.737
Os 5.210 5.210 5.210
```

DOS at the Fermi energy in states/eV per cell: 11.17
ΔE_f in kcal/mol of atoms: -4.120

***

(4)
VASP calculation (GGA-PBE) on an optimized crystal structure of SmZrCuOs. Values from VASP.

Structure (Quantum ESPRESSO input):
```
&SYSTEM
  ibrav = 0, nat = 16, ntyp = 4
/
ATOMIC_SPECIES
Sm 150.36 Sm.upf
Zr 91.22 Zr.upf
Cu 63.55 Cu.upf
Os 190.23 Os.upf
CELL_PARAMETERS angstrom
6.791 0.000 0.000
0.000 6.791 0.000
0.000 0.000 6.791
ATOMIC_POSITIONS angstrom
Sm 0.000 0.000 0.000
Sm 0.000 3.395 3.395
Sm 3.395 0.000 3.395
Sm 3.395 3.395 0.000
Zr 0.000 0.000 3.395
Zr 0.000 3.395 0.000
Zr 3.395 0.000 0.000
Zr 3.395 3.395 3.395
Cu 1.698 1.698 5.093
Cu 1.698 5.093 1.698
Cu 5.093 1.698 1.698
Cu 5.093 5.093 5.093
Os 1.698 1.698 1.698
Os 1.698 5.093 5.093
Os 5.093 1.698 5.093
Os 5.093 5.093 1.698
```

DOS at the Fermi energy in states/eV per cell: 11.96
ΔE_f in kcal/mol of atoms: -3.489

***

(5)
VASP calculation (GGA-PBE) on an optimized crystal structure of CuSnOs. Values from VASP.

Structure (Quantum ESPRESSO input):
```
&SYSTEM
  ibrav = 0, nat = 6, ntyp = 3
/
ATOMIC_SPECIES
Cu 63.55 Cu.upf
Sn 118.71 Sn.upf
Os 190.23 Os.upf
CELL_PARAMETERS angstrom
7.733 0.000 0.000
0.000 4.645 0.000
-1.244 0.000 2.889
ATOMIC_POSITIONS angstrom
Cu 0.000 0.000 0.000
Cu 3.866 2.323 0.000
Sn 2.505 0.000 1.160
Sn 6.371 2.323 1.160
Os 1.288 2.323 0.590
Os 5.154 0.000 0.590
```

DOS at the Fermi energy in states/eV per cell: 6.26
ΔE_f in kcal/mol of atoms: 12.234
Offset from the most stable computed form in eV per formula unit: 0.42

***

(6)
VASP calculation (GGA-PBE) on an optimized crystal structure of CuSnOs. Values from VASP.

Structure (Quantum ESPRESSO input):
```
&SYSTEM
  ibrav = 0, nat = 6, ntyp = 3
/
ATOMIC_SPECIES
Cu 63.55 Cu.upf
Sn 118.71 Sn.upf
Os 190.23 Os.upf
CELL_PARAMETERS angstrom
3.317 0.000 0.000
0.000 3.317 0.000
0.000 0.000 8.620
ATOMIC_POSITIONS angstrom
Cu 0.000 0.000 0.000
Cu 1.659 1.659 4.310
Sn 0.000 0.000 5.778
Sn 1.659 1.659 1.468
Os 0.000 0.000 2.945
Os 1.659 1.659 7.255
```

DOS at the Fermi energy in states/eV per cell: 6.03
ΔE_f in kcal/mol of atoms: 9.790
Offset from the most stable computed form in eV per formula unit: 0.10

***

(7)
VASP calculation (GGA-PBE) on an optimized crystal structure of CuSn4Os. Values from VASP.

Structure (Quantum ESPRESSO input):
```
&SYSTEM
  ibrav = 0, nat = 12, ntyp = 3
/
ATOMIC_SPECIES
Cu 63.55 Cu.upf
Sn 118.71 Sn.upf
Os 190.23 Os.upf
CELL_PARAMETERS angstrom
-3.353 3.353 5.565
3.353 -3.353 5.565
3.353 3.353 -5.565
ATOMIC_POSITIONS angstrom
Cu 0.000 0.000 0.000
Cu 0.000 0.000 5.565
Sn 4.409 1.056 -1.510
Sn 1.056 2.298 -1.510
Sn 4.409 1.056 1.510
Sn 1.056 2.298 1.510
Sn 2.298 1.056 4.055
Sn -1.056 2.298 4.055
Sn 2.298 1.056 7.075
Sn -1.056 2.298 7.075
Os 0.000 0.000 2.782
Os 0.000 0.000 8.347
```

DOS at the Fermi energy in states/eV per cell: 5.85
ΔE_f in kcal/mol of atoms: 0.555

***

(8)
VASP calculation (GGA-PBE) on an optimized crystal structure of CuSnOs. Values from VASP.

Structure (Quantum ESPRESSO input):
```
&SYSTEM
  ibrav = 0, nat = 6, ntyp = 3
/
ATOMIC_SPECIES
Cu 63.55 Cu.upf
Sn 118.71 Sn.upf
Os 190.23 Os.upf
CELL_PARAMETERS angstrom
3.123 0.000 0.000
0.000 2.978 0.000
0.000 0.000 10.982
ATOMIC_POSITIONS angstrom
Cu 0.000 0.000 0.000
Cu 0.000 1.489 5.491
Sn 0.000 0.000 3.262
Sn 0.000 1.489 8.753
Os 1.562 0.000 7.028
Os 1.562 1.489 1.537
```

DOS at the Fermi energy in states/eV per cell: 5.44
ΔE_f in kcal/mol of atoms: 12.393
Offset from the most stable computed form in eV per formula unit: 0.44

***

(9)
VASP calculation (GGA-PBE) on an optimized crystal structure of CuSnOs. Values from VASP.

Structure (Quantum ESPRESSO input):
```
&SYSTEM
  ibrav = 0, nat = 6, ntyp = 3
/
ATOMIC_SPECIES
Cu 63.55 Cu.upf
Sn 118.71 Sn.upf
Os 190.23 Os.upf
CELL_PARAMETERS angstrom
3.052 0.000 0.000
0.000 4.215 0.000
0.000 0.000 8.023
ATOMIC_POSITIONS angstrom
Cu 0.000 0.000 0.000
Cu 1.526 2.107 4.011
Sn 0.000 2.107 6.288
Sn 1.526 0.000 2.276
Os 0.000 0.000 4.536
Os 1.526 2.107 0.525
```

DOS at the Fermi energy in states/eV per cell: 4.33
ΔE_f in kcal/mol of atoms: 11.249
Offset from the most stable computed form in eV per formula unit: 0.29

***

(10)
VASP calculation (GGA-PBE) on an optimized crystal structure of CuSnOs3. Values from VASP.

Structure (Quantum ESPRESSO input):
```
&SYSTEM
  ibrav = 0, nat = 5, ntyp = 3
/
ATOMIC_SPECIES
Cu 63.55 Cu.upf
Sn 118.71 Sn.upf
Os 190.23 Os.upf
CELL_PARAMETERS angstrom
4.489 0.000 0.000
0.000 4.489 0.000
0.000 0.000 4.489
ATOMIC_POSITIONS angstrom
Cu 0.000 0.000 0.000
Sn 2.244 2.244 2.244
Os 0.000 0.000 2.244
Os 0.000 2.244 0.000
Os 2.244 0.000 0.000
```

DOS at the Fermi energy in states/eV per cell: 9.44
ΔE_f in kcal/mol of atoms: 42.850
Offset from the most stable computed form in eV per formula unit: 0.00

***

(11)
VASP calculation (GGA-PBE) on an optimized crystal structure of CuSnOs. Values from VASP.

Structure (Quantum ESPRESSO input):
```
&SYSTEM
  ibrav = 0, nat = 3, ntyp = 3
/
ATOMIC_SPECIES
Cu 63.55 Cu.upf
Sn 118.71 Sn.upf
Os 190.23 Os.upf
CELL_PARAMETERS angstrom
4.326 0.000 0.000
-2.163 3.746 0.000
0.000 0.000 2.929
ATOMIC_POSITIONS angstrom
Cu 0.000 0.000 0.000
Sn 0.000 2.498 0.333
Os 2.163 1.249 1.627
```

DOS at the Fermi energy in states/eV per cell: 2.36
ΔE_f in kcal/mol of atoms: 11.018
Offset from the most stable computed form in eV per formula unit: 0.26

***

(12)
VASP calculation (GGA-PBE) on an optimized crystal structure of CuSnOs. Values from VASP.

Structure (Quantum ESPRESSO input):
```
&SYSTEM
  ibrav = 0, nat = 9, ntyp = 3
/
ATOMIC_SPECIES
Cu 63.55 Cu.upf
Sn 118.71 Sn.upf
Os 190.23 Os.upf
CELL_PARAMETERS angstrom
3.050 0.000 0.000
-1.525 2.641 0.000
0.000 0.000 18.587
ATOMIC_POSITIONS angstrom
Cu 0.000 0.000 0.000
Cu 0.000 1.761 12.392
Cu 1.525 0.880 6.196
Sn 0.000 0.000 8.321
Sn 0.000 1.761 2.125
Sn 1.525 0.880 14.517
Os 0.000 0.000 4.204
Os 0.000 1.761 16.595
Os 1.525 0.880 10.399
```

DOS at the Fermi energy in states/eV per cell: 11.05
ΔE_f in kcal/mol of atoms: 14.061
Offset from the most stable computed form in eV per formula unit: 0.66

***

For each record above, in turn, the calculated M_tot values are 0.00, 0.00, 0.00, 0.00, 0.00, 0.00, 0.00, 0.00, 0.00, 1.59, 0.00, 0.00 μB per cell.